Density functional theory data (PBE) for a relaxed structure of Dy4Cd5Pt2.

POSCAR file:
```
Dy4Cd5Pt2
1.0
-2.765 -1.540 -1.710
4.314 -6.208 -1.386
-3.355 -3.424 8.511
Dy Cd Pt
4 5 2
direct
0.500 0.776 0.552
0.500 0.167 0.855
0.500 0.224 0.448
0.500 0.833 0.145
0.000 0.811 0.850
0.000 0.455 0.682
0.000 0.189 0.150
0.000 0.500 0.000
0.000 0.545 0.318
0.000 0.070 0.642
0.000 0.930 0.358
```

Properties
Its symmetry is P2/m, No. 10. Its energy relative to the elements is -0.633 eV/atom.



Density functional theory data (PBE) for a relaxed structure of DyCdPt.

POSCAR file:
```
DyCdPt
1.0
4.093 -0.200 0.069
0.199 4.094 0.069
-0.139 -0.126 7.872
Pt Cd Dy
2 2 2
direct
0.250 0.250 0.723
0.750 0.750 0.277
0.250 0.750 0.000
0.750 0.250 0.000
0.250 0.250 0.354
0.750 0.750 0.646
```

Properties
Its symmetry is P4/nmm, No. 129. Its energy relative to the elements is -0.861 eV/atom.